Li2BePd3: relaxed, PBE.

Unit cell a=4.4815 b=5.4476 c=6.9397 alpha=93.83 beta=104.25 gamma=84.99
Closest atoms and distances in Å follow each position.
Sites, in units of the cell vectors:
Li  0.6977  0.7706  0.3248  1 Be 2.51, 5 Pd 2.53-2.76, 2 Li 2.65-2.78
Li  0.7207  0.3048  0.4208  5 Pd 2.50-2.77, 2 Li 2.65-2.78
Li  0.2793  0.6952  0.5792  5 Pd 2.50-2.77, 2 Li 2.65-2.78
Li  0.3023  0.2294  0.6752  1 Be 2.51, 5 Pd 2.53-2.76, 2 Li 2.65-2.78
Be  0.8877  0.8317  0.0205  1 Be 2.23, 7 Pd 2.27-2.42
Be  0.1123  0.1683  0.9795  1 Be 2.23, 7 Pd 2.27-2.42
Pd  0.6214  0.2340  0.0516  3 Be 2.27-2.42, 1 Li 2.50
Pd  0.3786  0.7660  0.9484  3 Be 2.27-2.42, 1 Li 2.50
Pd  0.1925  0.0264  0.3037  2 Be 2.35-2.36, 1 Li 2.53
Pd  0.8446  0.4881  0.7867  2 Be 2.33-2.38
Pd  0.1554  0.5119  0.2133  2 Be 2.33-2.38
Pd  0.8075  0.9736  0.6963  2 Be 2.35-2.36, 1 Li 2.53

Results
energy above the lowest structure with this stoichiometry = 0.53 eV per formula unit
calculated formation energy = -2.5 eV/f.u.
E_tot = -4.2704 eV/atom